A plane-wave DFT calculation with GGA-PBE was carried out for an optimized crystal structure of TbGe3Ir3.

Computed properties:
As for the symmetry: R-3 (148). Its crystal system is trigonal. The electronic total energy is -96.44 eV per cell. The energy relative to the elements is -0.450 eV per atom.

Cell: 6.884 6.884 7.958 Å, 64.37 64.37 60.00°
Fractional positions:
Ge 0.956 0.140 0.312
Ir 0.456 0.683 0.669
Tb 0.672 0.672 0.984
Tb 0.328 0.328 0.016
Ge 0.860 0.407 0.688
Ir 0.317 0.808 0.331
Ir 0.808 0.544 0.331
Ge 0.044 0.860 0.688
Ir 0.192 0.456 0.669
Ir 0.683 0.192 0.669
Ir 0.544 0.317 0.331
Ge 0.593 0.956 0.312
Ge 0.140 0.593 0.312
Ge 0.407 0.044 0.688



A plane-wave DFT calculation with GGA-PBE was carried out for an optimized crystal structure of Tb2Ge3Ir.

Computed properties:
As for the symmetry: Fmmm (69). Its crystal system is orthorhombic. The electronic total energy is -73.30 eV per cell. The energy relative to the elements is -0.779 eV per atom.

Cell: 5.863 5.863 8.442 Å, 111.20 111.20 87.63°
Fractional positions:
Tb 0.250 0.750 0.500
Ir 0.334 0.334 0.669
Ge 0.335 0.335 0.169
Ge 0.169 0.169 0.338
Tb 0.256 0.744 0.000
Tb 0.750 0.250 0.500
Tb 0.744 0.256 0.000
Ir 0.666 0.666 0.331
Ge 0.831 0.831 0.662
Ge 0.665 0.665 0.831
Ge 0.166 0.166 0.831
Ge 0.834 0.834 0.169